Below is LiCaZnGa after structural relaxation, with properties calculated at the PBE level.

a b c (Å): 5.022 3.549 8.358
angles (deg): 114.87 90.00 135.03
Positions (direct):
Ca1 0.331 0.661 0.671
Li1 0.158 0.316 0.999
Ga1 0.843 0.686 0.184
Zn1 0.564 0.129 0.402

Computed properties:
- Energy: -2.20 eV per atom
- ΔE_f: -151 meV/atom
- Mass density: 3.57 g/cm3

Below is LiCa2Zn3Ga4 after structural relaxation, with properties calculated at the PBE level.

a b c (Å): 4.293 4.293 10.743
angles (deg): 90.00 90.00 90.00
Positions (direct):
Ca1 0.000 0.500 0.750
Zn1 0.000 0.000 0.500
Ga1 0.500 0.000 0.631
Ca2 0.500 0.000 0.250
Ga2 0.500 0.500 0.000
Ga3 0.000 0.500 0.369
Li1 0.500 0.500 0.500
Zn2 0.000 0.500 0.138
Ga4 0.000 0.000 0.000
Zn3 0.500 0.000 0.862

Computed properties:
- Energy: -2.50 eV per atom
- ΔE_f: -316 meV/atom
- Mass density: 4.72 g/cm3

Number 1: density of states at the Fermi level 1.84 states/eV per cell. Number 2: density of states at the Fermi level 5.18 states/eV per cell.